(1)
This record from Alexandria via LeMat-Bulk describes Th3CuSn after structural relaxation. The functional is PBE.

Lattice parameters (Å, degrees): 4.903 7.802 8.578 117.05 90.00 90.00
Fractional positions:
Th1 0.000 0.146 0.292
Th2 0.500 0.685 0.000
Th3 0.500 0.315 0.000
Th4 0.500 0.000 0.500
Th5 0.500 0.500 0.500
Th6 0.000 0.854 0.708
Cu1 0.500 0.081 0.161
Cu2 0.500 0.919 0.839
Sn1 0.000 0.363 0.726
Sn2 0.000 0.637 0.274

(2)
This record from Alexandria via LeMat-Bulk describes Th3Cu3Sn4 after structural relaxation. The functional is PBE.

Lattice parameters (Å, degrees): 8.478 8.478 8.478 109.47 109.47 109.47
Fractional positions:
Cu1 0.375 0.250 0.125
Cu2 0.750 0.125 0.875
Cu3 0.125 0.750 0.375
Cu4 0.625 0.875 0.250
Cu5 0.875 0.625 0.750
Cu6 0.250 0.375 0.625
Th1 0.750 0.625 0.375
Th2 0.125 0.375 0.250
Th3 0.250 0.875 0.125
Th4 0.625 0.750 0.875
Th5 0.875 0.250 0.625
Th6 0.375 0.125 0.750
Sn1 0.000 0.000 0.336
Sn2 0.164 0.664 0.664
Sn3 0.500 0.836 0.500
Sn4 0.336 0.500 0.000
Sn5 0.500 0.336 0.500
Sn6 0.000 0.000 0.836
Sn7 0.836 0.500 0.000
Sn8 0.664 0.164 0.164

(3)
This record from Alexandria via LeMat-Bulk describes Th3Cu2Sn3 after structural relaxation. The functional is PBE.

Lattice parameters (Å, degrees): 4.451 6.154 15.551 90.00 90.00 111.20
Fractional positions:
Th1 0.070 0.140 0.611
Th2 0.642 0.284 0.250
Th3 0.930 0.860 0.389
Th4 0.930 0.860 0.111
Th5 0.358 0.716 0.750
Th6 0.070 0.140 0.889
Cu1 0.777 0.554 0.894
Cu2 0.223 0.446 0.394
Cu3 0.777 0.554 0.606
Cu4 0.223 0.446 0.106
Sn1 0.366 0.732 0.960
Sn2 0.645 0.290 0.750
Sn3 0.634 0.268 0.040
Sn4 0.355 0.710 0.250
Sn5 0.634 0.268 0.460
Sn6 0.366 0.732 0.540

(4)
This record from Alexandria via LeMat-Bulk describes Th2Cu3Sn2 after structural relaxation. The functional is PBE.

Lattice parameters (Å, degrees): 7.464 7.464 7.464 109.47 109.47 109.47
Fractional positions:
Cu1 0.250 0.017 0.267
Cu2 0.733 0.250 0.483
Cu3 0.750 0.483 0.233
Cu4 0.767 0.750 0.017
Cu5 0.983 0.233 0.250
Cu6 0.517 0.267 0.750
Sn1 0.500 0.921 0.500
Sn2 0.421 0.500 0.000
Sn3 0.079 0.579 0.579
Sn4 0.000 0.000 0.921
Th1 0.000 0.000 0.502
Th2 0.002 0.500 0.000
Th3 0.500 0.502 0.500
Th4 0.498 0.998 0.998

(5)
This record from Alexandria via LeMat-Bulk describes Th2CuSn2 after structural relaxation. The functional is PBE.

Lattice parameters (Å, degrees): 4.483 6.697 9.305 90.00 103.94 90.00
Fractional positions:
Sn1 0.155 0.405 0.310
Sn2 0.845 0.905 0.690
Sn3 0.402 0.514 0.803
Sn4 0.598 0.014 0.197
Th1 0.011 0.720 0.022
Th2 0.217 0.876 0.434
Th3 0.989 0.220 0.978
Th4 0.783 0.376 0.566
Cu1 0.366 0.118 0.732
Cu2 0.634 0.618 0.268

Excess energy over the best structure of this formula in the dataset ... 133 meV per atom

(6)
This record from Alexandria via LeMat-Bulk describes Th5Cu2Sn5 after structural relaxation. The functional is PBE.

Lattice parameters (Å, degrees): 4.427 8.343 9.398 84.71 76.38 74.61
Fractional positions:
Sn1 0.000 0.000 0.000
Sn2 0.252 0.687 0.810
Sn3 0.748 0.313 0.190
Sn4 0.939 0.766 0.356
Sn5 0.061 0.234 0.644
Th1 0.697 0.935 0.671
Th2 0.303 0.065 0.329
Th3 0.613 0.698 0.076
Th4 0.500 0.500 0.500
Th5 0.387 0.302 0.924
Cu1 0.856 0.527 0.761
Cu2 0.144 0.473 0.239

(7)
This record from Alexandria via LeMat-Bulk describes ThCuSn after structural relaxation. The functional is PBE.

Lattice parameters (Å, degrees): 4.180 4.180 5.290 113.27 113.27 90.00
Fractional positions:
Cu1 0.959 0.959 0.918
Th1 0.622 0.622 0.243
Sn1 0.269 0.269 0.539

(8)
This record from Alexandria via LeMat-Bulk describes ThCuSn after structural relaxation. The functional is PBE.

Lattice parameters (Å, degrees): 5.490 8.106 6.224 90.00 90.00 90.00
Fractional positions:
Cu1 0.825 0.442 0.250
Cu2 0.825 0.058 0.750
Cu3 0.175 0.558 0.750
Cu4 0.175 0.942 0.250
Sn1 0.836 0.750 0.000
Sn2 0.836 0.750 0.500
Sn3 0.164 0.250 0.500
Sn4 0.164 0.250 0.000
Th1 0.340 0.599 0.250
Th2 0.660 0.401 0.750
Th3 0.340 0.901 0.750
Th4 0.660 0.099 0.250

Number 1: total magnetic moment 0.00 μB/f.u., DFT formation energy -62.7 meV per atom. Number 2: total magnetic moment 0.00 μB/f.u., DFT formation energy -529.4 meV per atom. Number 3: total magnetic moment 0.00 μB/f.u., DFT formation energy -471.4 meV per atom. Number 4: total magnetic moment 0.00 μB/f.u., DFT formation energy -162.4 meV per atom. Number 5: total magnetic moment 0.00 μB/f.u., DFT formation energy -342.6 meV per atom. Number 6: total magnetic moment 0.00 μB/f.u., DFT formation energy -475.9 meV per atom. Number 7: total magnetic moment 0.00 μB/f.u., DFT formation energy 0.5 meV per atom. Number 8: total magnetic moment 0.00 μB/f.u., DFT formation energy -415.3 meV per atom.